A plane-wave DFT calculation with PBE was carried out for Na3Tl12Hg after structural relaxation.

```
Na3Tl12Hg
1.0
4.876 0.000 0.000
0.000 4.876 0.000
0.000 0.000 19.527
Na Tl Hg
3 12 1
Direct
0.000 0.000 0.000 Na
0.000 0.000 0.247 Na
0.000 0.000 0.753 Na
0.000 0.500 0.125 Tl
0.000 0.500 0.373 Tl
0.000 0.500 0.627 Tl
0.000 0.500 0.875 Tl
0.500 0.000 0.125 Tl
0.500 0.000 0.373 Tl
0.500 0.000 0.627 Tl
0.500 0.000 0.875 Tl
0.500 0.500 0.000 Tl
0.500 0.500 0.248 Tl
0.500 0.500 0.500 Tl
0.500 0.500 0.752 Tl
0.000 0.000 0.500 Hg
```

Properties
As for the space group: P4/mmm. The value obtained for the energy of formation is -0.05 eV per atom.

---

A plane-wave DFT calculation with PBE was carried out for Na3TlHg3 after structural relaxation.

```
Na3TlHg3
1.0
8.223 0.000 0.000
0.000 8.223 0.000
0.000 0.000 8.223
Na Tl Hg
6 2 6
Direct
0.000 0.250 0.500 Na
0.000 0.750 0.500 Na
0.250 0.500 0.000 Na
0.500 0.000 0.250 Na
0.500 0.000 0.750 Na
0.750 0.500 0.000 Na
0.000 0.000 0.000 Tl
0.500 0.500 0.500 Tl
0.000 0.500 0.250 Hg
0.000 0.500 0.750 Hg
0.250 0.000 0.500 Hg
0.500 0.250 0.000 Hg
0.500 0.750 0.000 Hg
0.750 0.000 0.500 Hg
```

Properties
As for the space group: Pm-3n. The relative energy among the computed polymorphs is 323 meV per atom. The value obtained for the energy of formation is 0.15 eV per atom.

---

A plane-wave DFT calculation with PBE was carried out for Na5Tl2Hg4 after structural relaxation.

```
Na5Tl2Hg4
1.0
8.403 0.000 0.000
0.000 20.133 0.000
0.000 0.000 3.533
Na Tl Hg
10 4 8
Direct
0.000 0.000 0.000 Na
0.124 0.431 0.000 Na
0.194 0.184 0.000 Na
0.306 0.684 0.000 Na
0.376 0.931 0.000 Na
0.500 0.500 0.000 Na
0.624 0.069 0.000 Na
0.694 0.316 0.000 Na
0.806 0.816 0.000 Na
0.876 0.569 0.000 Na
0.022 0.300 0.500 Tl
0.478 0.800 0.500 Tl
0.522 0.200 0.500 Tl
0.978 0.700 0.500 Tl
0.114 0.851 0.500 Hg
0.203 0.559 0.500 Hg
0.297 0.059 0.500 Hg
0.386 0.351 0.500 Hg
0.614 0.649 0.500 Hg
0.703 0.941 0.500 Hg
0.797 0.441 0.500 Hg
0.886 0.149 0.500 Hg
```

Properties
As for the space group: Pbam. The relative energy among the computed polymorphs is 9 meV per atom. The value obtained for the energy of formation is -0.17 eV per atom.

---

A plane-wave DFT calculation with PBE was carried out for Na2TlHg after structural relaxation.

```
Na2TlHg
1.0
0.000 3.754 3.754
3.754 0.000 3.754
3.754 3.754 0.000
Na Tl Hg
2 1 1
Direct
0.000 0.000 0.000 Na
0.250 0.250 0.250 Na
0.750 0.750 0.750 Tl
0.500 0.500 0.500 Hg
```

Properties
As for the space group: F-43m. The value obtained for the energy of formation is -0.18 eV per atom.

---

A plane-wave DFT calculation with PBE was carried out for NaTl12Hg7 after structural relaxation.

```
NaTl12Hg7
1.0
7.668 4.427 2.960
-7.668 4.427 2.960
0.000 -8.855 2.960
Na Tl Hg
1 12 7
Direct
0.000 0.000 0.000 Na
0.068 0.855 0.593 Tl
0.145 0.407 0.932 Tl
0.247 0.601 0.652 Tl
0.348 0.753 0.399 Tl
0.399 0.348 0.753 Tl
0.407 0.932 0.145 Tl
0.593 0.068 0.855 Tl
0.601 0.652 0.247 Tl
0.652 0.247 0.601 Tl
0.753 0.399 0.348 Tl
0.855 0.593 0.068 Tl
0.932 0.145 0.407 Tl
0.003 0.359 0.189 Hg
0.189 0.003 0.359 Hg
0.359 0.189 0.003 Hg
0.500 0.500 0.500 Hg
0.641 0.811 0.997 Hg
0.811 0.997 0.641 Hg
0.997 0.641 0.811 Hg
```

Properties
As for the space group: R-3. The relative energy among the computed polymorphs is 0 meV per atom. The value obtained for the energy of formation is 0.00 eV per atom.

---

A plane-wave DFT calculation with PBE was carried out for NaTl3Hg2 after structural relaxation.

```
NaTl3Hg2
1.0
4.843 0.000 0.000
0.000 14.471 0.000
0.000 0.000 4.804
Na Tl Hg
2 6 4
Direct
0.250 0.250 0.001 Na
0.750 0.750 0.999 Na
0.250 0.079 0.501 Tl
0.250 0.421 0.501 Tl
0.250 0.750 0.499 Tl
0.750 0.250 0.501 Tl
0.750 0.579 0.499 Tl
0.750 0.921 0.499 Tl
0.250 0.587 0.999 Hg
0.250 0.913 0.999 Hg
0.750 0.087 0.001 Hg
0.750 0.413 0.001 Hg
```

Properties
As for the space group: Pmmn. The relative energy among the computed polymorphs is 0 meV per atom. The value obtained for the energy of formation is -0.08 eV per atom.

---

A plane-wave DFT calculation with PBE was carried out for NaTl5Hg5 after structural relaxation.

```
NaTl5Hg5
1.0
5.794 0.000 0.000
0.032 6.615 0.000
2.621 0.147 8.435
Na Tl Hg
1 5 5
Direct
0.000 0.000 0.000 Na
0.000 0.000 0.500 Tl
0.162 0.538 0.314 Tl
0.364 0.732 0.665 Tl
0.636 0.268 0.335 Tl
0.838 0.462 0.686 Tl
0.000 0.500 0.000 Hg
0.344 0.215 0.698 Hg
0.481 0.234 0.017 Hg
0.519 0.766 0.983 Hg
0.656 0.785 0.302 Hg
```

Properties
As for the space group: P-1. The value obtained for the energy of formation is -0.04 eV per atom.

---

A plane-wave DFT calculation with PBE was carried out for NaTl5Hg8 after structural relaxation.

```
NaTl5Hg8
1.0
-4.692 4.692 4.665
4.692 -4.692 4.665
4.692 4.692 -4.665
Na Tl Hg
1 5 8
Direct
0.000 0.000 0.000 Na
0.107 0.491 0.863 Tl
0.250 0.750 0.500 Tl
0.509 0.372 0.615 Tl
0.628 0.243 0.137 Tl
0.757 0.893 0.385 Tl
0.051 0.289 0.409 Hg
0.231 0.135 0.763 Hg
0.358 0.949 0.238 Hg
0.372 0.468 0.237 Hg
0.532 0.769 0.904 Hg
0.711 0.120 0.762 Hg
0.865 0.628 0.096 Hg
0.880 0.642 0.591 Hg
```

Properties
As for the space group: I-4. The value obtained for the energy of formation is -0.03 eV per atom.

---

A plane-wave DFT calculation with PBE was carried out for Na10Tl3Hg3 after structural relaxation.

```
Na10Tl3Hg3
1.0
9.350 0.000 0.000
-4.675 8.097 0.000
0.000 0.000 6.272
Na Tl Hg
10 3 3
Direct
0.000 0.247 0.000 Na
0.000 0.760 0.500 Na
0.240 0.240 0.500 Na
0.247 0.000 0.000 Na
0.333 0.667 0.244 Na
0.333 0.667 0.756 Na
0.667 0.333 0.244 Na
0.667 0.333 0.756 Na
0.753 0.753 0.000 Na
0.760 0.000 0.500 Na
0.000 0.409 0.500 Tl
0.409 0.000 0.500 Tl
0.591 0.591 0.500 Tl
0.000 0.601 0.000 Hg
0.399 0.399 0.000 Hg
0.601 0.000 0.000 Hg
```

Properties
As for the space group: P-62m. The value obtained for the energy of formation is -0.13 eV per atom.

---

A plane-wave DFT calculation with PBE was carried out for Na2TlHg after structural relaxation.

```
Na2TlHg
1.0
-3.379 4.209 3.851
3.379 -4.209 3.851
3.379 4.209 -3.851
Na Tl Hg
4 2 2
Direct
0.290 0.000 0.790 Na
0.290 0.500 0.290 Na
0.710 0.000 0.210 Na
0.710 0.500 0.710 Na
0.197 0.447 0.750 Tl
0.803 0.553 0.250 Tl
0.212 0.962 0.250 Hg
0.788 0.038 0.750 Hg
```

Properties
As for the space group: Imma. The value obtained for the energy of formation is -0.16 eV per atom.

---

A plane-wave DFT calculation with PBE was carried out for Na7Tl3Hg after structural relaxation.

```
Na7Tl3Hg
1.0
7.040 0.000 0.000
-3.520 6.097 0.000
0.000 0.000 8.080
Na Tl Hg
7 3 1
Direct
0.000 0.000 0.000 Na
0.170 0.339 0.374 Na
0.170 0.830 0.374 Na
0.501 0.002 0.005 Na
0.501 0.499 0.005 Na
0.661 0.830 0.374 Na
0.998 0.499 0.005 Na
0.342 0.171 0.680 Tl
0.829 0.171 0.680 Tl
0.829 0.658 0.680 Tl
0.667 0.333 0.324 Hg
```

Properties
As for the space group: P3m1. The relative energy among the computed polymorphs is 52 meV per atom. The value obtained for the energy of formation is -0.04 eV per atom.

---

A plane-wave DFT calculation with PBE was carried out for Na2Tl4Hg after structural relaxation.

```
Na2Tl4Hg
1.0
2.669 1.541 8.212
-2.669 1.541 8.212
0.000 -3.082 8.212
Na Tl Hg
2 4 1
Direct
0.213 0.213 0.213 Na
0.787 0.787 0.787 Na
0.073 0.073 0.073 Tl
0.360 0.360 0.360 Tl
0.640 0.640 0.640 Tl
0.927 0.927 0.927 Tl
0.500 0.500 0.500 Hg
```

Properties
As for the space group: R-3m. The relative energy among the computed polymorphs is 0 meV per atom. The value obtained for the energy of formation is -0.09 eV per atom.